Density functional theory data (GGA+U) for crystalline CrNF3 at its relaxed geometry.

```
CrNF3
1.0
-0.269 2.779 -2.699
-0.033 -2.707 -2.784
-3.874 -0.170 0.211
Cr F N
1 3 1
Direct
0.500 0.500 0.500
0.000 0.000 0.500
0.000 0.500 0.000
0.500 0.000 0.000
0.000 0.000 0.000
```

M_tot	0.153	μB/atom
energy	-3.819	eV/atom
volume	11.711	Å³ per atom